# 1
Entry from Alexandria: a geometry-optimized CsNiRhBr6 structure (GGA-PBE).

raw formation energy	-680	meV/atom

abc: 6.5980 6.5980 8.3061
angles: 90.00 90.00 60.00
Last column: magnetic moment on the atom in μB.
Atoms (fractional coordinates):
Cs: 0.0000 0.0000 0.0000  0.00
Ni: 0.3333 0.3333 0.5000  1.36
Rh: 0.6666 0.6667 0.5000  0.03
Br: 0.9954 0.3676 0.3295  0.08
Br: 0.3676 0.9955 0.6705  0.08
Br: 0.6369 0.3677 0.6705  0.08
Br: 0.9954 0.6369 0.6705  0.08
Br: 0.3676 0.6369 0.3295  0.08
Br: 0.6369 0.9954 0.3295  0.08

# 2
Entry from Alexandria: a geometry-optimized Li2Ca2Ge3 structure (GGA-PBE).

DFT formation energy	-0.509	eV per atom
offset from the most stable computed form	0.000	eV per formula unit

abc: 9.7919 9.7919 7.0430
angles: 90.00 90.00 153.88
Atoms (fractional coordinates):
Li: 0.3105 0.6895 0.0582
Li: 0.6895 0.3105 0.9418
Li: 0.6895 0.3105 0.5582
Li: 0.3105 0.6895 0.4418
Ca: 0.8415 0.1585 0.7500
Ca: 0.1585 0.8415 0.2500
Ca: 0.0566 0.9434 0.7500
Ca: 0.9434 0.0566 0.2500
Ge: 0.7783 0.2217 0.2500
Ge: 0.2217 0.7783 0.7500
Ge: 0.4409 0.5591 0.5727
Ge: 0.5591 0.4409 0.4273
Ge: 0.5591 0.4409 0.0727
Ge: 0.4409 0.5591 0.9273

# 3
Entry from Alexandria: a geometry-optimized Na2TeSe5 structure (GGA-PBE).

raw formation energy	-415	meV/atom

abc: 7.5196 8.8758 8.0746
angles: 140.01 117.75 90.00
Atoms (fractional coordinates):
Na: 0.3212 0.7861 0.6425
Na: 0.8489 0.3376 0.6978
Te: 0.1346 0.1133 0.2692
Se: 0.7089 0.2321 0.9200
Se: 0.2111 0.2321 0.9200
Se: 0.7517 0.8038 0.0269
Se: 0.2752 0.8038 0.0269
Se: 0.5253 0.4682 0.0506

# 4
Entry from Alexandria: a geometry-optimized Ce3Sm2PuSe6 structure (GGA-PBE).

raw formation energy	-1783	meV/atom

abc: 7.2310 7.2310 7.2741
angles: 99.52 99.52 120.05
Last column: magnetic moment on the atom in μB.
Atoms (fractional coordinates):
Ce: 0.1678 0.8322 0.5000  0.83
Ce: 0.8322 0.1678 0.5000  0.83
Ce: 0.5000 0.5000 0.5000  0.83
Sm: 0.3333 0.6667 0.0000  0.00
Sm: 0.6667 0.3333 0.0000  0.00
Pu: 0.0000 0.0000 0.0000  5.42
Se: 0.9181 0.5872 0.7541  -0.03
Se: 0.7512 0.7512 0.2464  -0.03
Se: 0.0819 0.4128 0.2459  -0.03
Se: 0.5872 0.9181 0.7541  -0.03
Se: 0.2488 0.2488 0.7536  -0.03
Se: 0.4128 0.0819 0.2459  -0.03

# 5
Entry from Alexandria: a geometry-optimized Tb2GaAg2 structure (GGA-PBE).

DFT formation energy	-0.358	eV per atom

abc: 4.3555 5.7469 10.3030
angles: 89.00 77.80 67.73
Atoms (fractional coordinates):
Tb: 0.6722 0.3170 0.3387
Tb: 0.9219 0.2694 0.8868
Tb: 0.3278 0.6830 0.6613
Tb: 0.0781 0.7306 0.1132
Ga: 0.6104 0.1079 0.6713
Ga: 0.3896 0.8921 0.3287
Ag: 0.0940 0.2566 0.5554
Ag: 0.6406 0.8327 0.8862
Ag: 0.9060 0.7434 0.4446
Ag: 0.3594 0.1673 0.1138

# 6
Entry from Alexandria: a geometry-optimized LaPr2In structure (GGA-PBE).

DFT formation energy	-0.132	eV per atom
offset from the most stable computed form	0.611	eV per formula unit

abc: 5.6562 5.6562 5.6562
angles: 60.00 60.00 60.00
Last column: magnetic moment on the atom in μB.
Atoms (fractional coordinates):
Pr: 0.2500 0.2500 0.2500  0.03
Pr: 0.7500 0.7500 0.7500  0.03
In: 0.5000 0.5000 0.5000  0.00
La: 0.0000 0.0000 0.0000  0.05

# 7
Entry from Alexandria: a geometry-optimized Tb6HoIn6 structure (GGA-PBE).

DFT formation energy	-0.314	eV per atom

abc: 6.2861 6.2861 10.7617
angles: 90.00 90.00 120.00
Last column: magnetic moment on the atom in μB.
Atoms (fractional coordinates):
Tb: 0.0000 0.0000 0.6644  0.11
Tb: 0.0000 0.0000 0.3356  0.11
Tb: 0.3333 0.6667 0.0000  0.01
Tb: 0.6667 0.3333 0.0000  0.01
Tb: 0.3333 0.6667 0.5000  0.03
Tb: 0.6667 0.3333 0.5000  0.03
Ho: 0.0000 0.0000 0.0000  0.08
In: 0.0000 0.5000 0.7538  0.00
In: 0.5000 0.0000 0.7538  0.00
In: 0.5000 0.5000 0.7538  0.00
In: 0.5000 0.0000 0.2462  0.00
In: 0.0000 0.5000 0.2462  0.00
In: 0.5000 0.5000 0.2462  0.00

# 8
Entry from Alexandria: a geometry-optimized Sr2CdOs structure (GGA-PBE).

DFT formation energy	0.441	eV per atom

abc: 3.7202 3.7202 8.7273
angles: 90.00 90.00 90.00
Atoms (fractional coordinates):
Cd: 0.0000 0.0000 0.5688
Os: 0.5000 0.5000 0.6832
Sr: 0.0000 0.0000 0.9164
Sr: 0.5000 0.5000 0.3316

# 9
Entry from Alexandria: a geometry-optimized Li2CaHg structure (GGA-PBE).

DFT formation energy	-0.254	eV per atom

abc: 4.7786 4.7786 5.6265
angles: 64.87 64.87 60.00
Atoms (fractional coordinates):
Li: 0.0101 0.0101 0.9696
Li: 0.2841 0.2841 0.1478
Ca: 0.4958 0.4958 0.5127
Hg: 0.7100 0.7100 0.8699

# 10
Entry from Alexandria: a geometry-optimized ZrSc2TiN4 structure (GGA-PBE).

raw formation energy	-1807	meV/atom

abc: 3.1650 5.4633 5.5023
angles: 109.35 90.00 90.00
Atoms (fractional coordinates):
Zr: 0.5000 0.5000 0.0000
Sc: 0.5000 0.0000 0.5000
Sc: 0.0000 0.5000 0.5000
Ti: 0.0000 0.0000 0.0000
N: 0.5000 0.2407 0.2423
N: 0.5000 0.7593 0.7577
N: 0.0000 0.2433 0.7524
N: 0.0000 0.7567 0.2476

# 11
Entry from Alexandria: a geometry-optimized TbNd3Tl2 structure (GGA-PBE).

DFT formation energy	-0.270	eV per atom
offset from the most stable computed form	0.000	eV per formula unit

abc: 5.2523 6.8812 10.3156
angles: 90.00 90.00 90.00
Atoms (fractional coordinates):
Tb: 0.5000 0.5435 0.5404
Tb: 0.5000 0.0435 0.4596
Nd: 0.0000 0.4524 0.9601
Nd: 0.0000 0.9524 0.0399
Nd: 0.5000 0.6850 0.1873
Nd: 0.5000 0.1850 0.8127
Nd: 0.0000 0.3160 0.3206
Nd: 0.0000 0.8160 0.6794
Tl: 0.5000 0.7081 0.8615
Tl: 0.5000 0.2081 0.1385
Tl: 0.0000 0.2950 0.6352
Tl: 0.0000 0.7950 0.3648

# 12
Entry from Alexandria: a geometry-optimized Th2Cu15Au2 structure (GGA-PBE).

DFT formation energy	-0.122	eV per atom

abc: 6.6096 6.6096 6.6096
angles: 83.22 83.22 83.22
Atoms (fractional coordinates):
Th: 0.3477 0.3477 0.3477
Th: 0.6523 0.6523 0.6523
Cu: 0.5000 0.0000 0.0000
Cu: 0.0000 0.0000 0.5000
Cu: 0.0000 0.5000 0.0000
Cu: 0.0000 0.7012 0.2988
Cu: 0.7012 0.2988 0.0000
Cu: 0.2988 0.0000 0.7012
Cu: 0.2988 0.7012 0.0000
Cu: 0.7012 0.0000 0.2988
Cu: 0.0000 0.2988 0.7012
Cu: 0.1595 0.6505 0.6505
Cu: 0.6505 0.6505 0.1595
Cu: 0.6505 0.1595 0.6505
Cu: 0.8405 0.3495 0.3495
Cu: 0.3495 0.3495 0.8405
Cu: 0.3495 0.8405 0.3495
Au: 0.1078 0.1078 0.1078
Au: 0.8922 0.8922 0.8922

Calculated values (Bohr magnetons per cell) of magnetization for the records, taken in order: 2.0; 0.0; 0.0; 8.7; 0.0; 0.2; 0.6; 0.0; 0.0; 0.0; 0.0; 0.0.